The following is a DFT calculation (PBE) of a relaxed structure of Mn2VMo.

Results
Energy above the most stable polymorph in this dataset: 622 meV per atom
DOS at the Fermi energy: 1.1829 states/eV per atom
Total moment: 0.76 μB per atom
Raw total energy: -9.025 eV/atom
DFT formation energy: 2.19 eV/f.u.

```
data_Mn2VMo
_chemical_formula_sum 'Mn8 V4 Mo4'
_cell_length_a 6.595
_cell_length_b 6.595
_cell_length_c 5.147
_cell_angle_alpha 90.00
_cell_angle_beta 90.00
_cell_angle_gamma 90.00
_symmetry_space_group_name_H-M 'I -4 2 d'
_symmetry_Int_Tables_number 122
_symmetry_space_group_name_Hall 'I -4 2bw'
loop_
_atom_site_label
_atom_site_type_symbol
_atom_site_fract_x
_atom_site_fract_y
_atom_site_fract_z
Mn1 Mn 0.240 0.750 0.125
V1 V 0.000 0.000 0.000
Mo1 Mo 0.000 0.000 0.500
```



The following is a DFT calculation (PBE) of a relaxed structure of Mn3VMo.

Results
Energy above the most stable polymorph in this dataset: 0 meV per atom
DOS at the Fermi energy: 1.1585 states/eV per atom
Total moment: 0.49 μB per atom
Raw total energy: -8.335 eV/atom
DFT formation energy: 5.79 eV/f.u.

```
data_Mn3VMo
_chemical_formula_sum 'Mn3 V1 Mo1'
_cell_length_a 4.199
_cell_length_b 4.199
_cell_length_c 4.199
_cell_angle_alpha 90.00
_cell_angle_beta 90.00
_cell_angle_gamma 90.00
_symmetry_space_group_name_H-M 'P m -3 m'
_symmetry_Int_Tables_number 221
_symmetry_space_group_name_Hall '-P 4 2 3'
loop_
_atom_site_label
_atom_site_type_symbol
_atom_site_fract_x
_atom_site_fract_y
_atom_site_fract_z
Mn1 Mn 0.000 0.000 0.500
V1 V 0.000 0.000 0.000
Mo1 Mo 0.500 0.500 0.500
```



The following is a DFT calculation (PBE) of a relaxed structure of MnVMo2.

Results
Energy above the most stable polymorph in this dataset: 15 meV per atom
DOS at the Fermi energy: 0.8541 states/eV per atom
Total moment: 0.13 μB per atom
Raw total energy: -9.997 eV/atom
DFT formation energy: -0.04 eV/f.u.

```
data_MnVMo2
_chemical_formula_sum 'Mn4 V4 Mo8'
_cell_length_a 6.062
_cell_length_b 6.062
_cell_length_c 6.062
_cell_angle_alpha 90.00
_cell_angle_beta 90.00
_cell_angle_gamma 90.00
_symmetry_space_group_name_H-M 'F m -3 m'
_symmetry_Int_Tables_number 225
_symmetry_space_group_name_Hall '-F 4 2 3'
loop_
_atom_site_label
_atom_site_type_symbol
_atom_site_fract_x
_atom_site_fract_y
_atom_site_fract_z
Mn1 Mn 0.000 0.000 0.000
V1 V 0.000 0.000 0.500
Mo1 Mo 0.250 0.250 0.250
```



The following is a DFT calculation (PBE) of a relaxed structure of MnV4Mo2.

Results
Energy above the most stable polymorph in this dataset: 0 meV per atom
DOS at the Fermi energy: 1.0802 states/eV per atom
Total moment: 0.00 μB per atom
Raw total energy: -9.548 eV/atom
DFT formation energy: 0.47 eV/f.u.

```
data_MnV4Mo2
_chemical_formula_sum 'Mn1 V4 Mo2'
_cell_length_a 2.563
_cell_length_b 6.599
_cell_length_c 6.615
_cell_angle_alpha 116.60
_cell_angle_beta 94.94
_cell_angle_gamma 98.02
_symmetry_space_group_name_H-M 'P -1'
_symmetry_Int_Tables_number 2
loop_
_symmetry_equiv_pos_as_xyz
'x,y,z'
'-x,-y,-z'
loop_
_atom_site_label
_atom_site_type_symbol
_atom_site_fract_x
_atom_site_fract_y
_atom_site_fract_z
Mn1 Mn 0.000 0.000 0.000
V1 V 0.251 0.854 0.275
V2 V 0.387 0.422 0.136
Mo1 Mo 0.041 0.281 0.431
```